Here is crystalline HfFePO2 at its relaxed geometry from Alexandria via LeMat-Bulk. Energies are from GGA+U.

a b c (Å): 3.9797 3.9797 5.4834
angles (deg): 90.00 90.00 90.00
Space group P4/mmm (No. 123)
One atom of each set of equivalent atoms:
1 Hf 0.0000 0.0000 0.0000 x1
2 Fe 0.5000 0.5000 0.5000 x1
3 P 0.0000 0.0000 0.5000 x1
4 O 0.0000 0.5000 0.0000 x2

spin magnetization = 4.1 μB per formula unit
energy relative to the lowest polymorph listed for this composition = 0.000 eV per atom
calculated total energy = -37.26 eV for the cell shown
DOS(E_F) = 2.7 states/eV/cell